# CuSiSb2, relaxed, DFT PBE
# Calculated density   6570 kg/m3
# Raw formation energy   0.214 eV per atom
# Final energy   -4.23 eV per atom
data_CuSiSb2
_symmetry_space_group_name_H-M 'C 1 2/m 1'
_symmetry_Int_Tables_number 12
_cell_length_a 6.8014
_cell_length_b 3.9710
_cell_length_c 6.6699
_cell_angle_alpha 90.00
_cell_angle_beta 109.87
_cell_angle_gamma 90.00
loop_
_symmetry_equiv_pos_as_xyz
'x,y,z'
'-x,-y,-z'
'-x,y,-z'
'x,-y,z'
'x+1/2,y+1/2,z'
'-x+1/2,-y+1/2,-z'
'-x+1/2,y+1/2,-z'
'x+1/2,-y+1/2,z'
loop_
_atom_site_label
_atom_site_fract_x
_atom_site_fract_y
_atom_site_fract_z
_atom_site_occupancy
Cu1 0.0000 0.0000 0.0000 1
Si1 0.0000 0.5000 0.5000 1
Sb1 0.2462 0.5000 0.2387 1